Computed, not measured: a relaxed structure of SiAs2W at the PBE level of DFT.

Values from the calculation:
The calculation puts the theoretical density at 8.3 g cm⁻³. As for the symmetry: No. 160. The calculated total energy comes out at -6.740 eV per atom. The value obtained for the density of states at the Fermi level is 0.96 states/eV per cell. The value obtained for the formation energy from raw total energies is 0.179 eV per atom.

The structure in POSCAR format:
```
SiAs2W
1.0
9.392 0.013 0.008
8.906 2.982 0.008
8.906 1.458 2.601
Si W As
1 1 2
direct
0.508 0.508 0.508
0.244 0.244 0.244
0.981 0.981 0.981
0.767 0.767 0.767
```


Computed, not measured: a relaxed structure of SiAs2W2 at the PBE level of DFT.

Values from the calculation:
The calculation puts the theoretical density at 10.1 g cm⁻³. As for the symmetry: No. 139. The calculated total energy comes out at -7.513 eV per atom. The calculation puts the energy above the most stable polymorph in this dataset at 0 meV/atom. The value obtained for the density of states at the Fermi level is 3.98 states/eV per cell. The value obtained for the formation energy from raw total energies is 0.613 eV per atom.

The structure in POSCAR format:
```
SiAs2W2
1.0
-0.717 -4.441 -0.919
3.065 0.211 -3.413
4.258 -3.172 0.538
Si As W
1 2 2
direct
0.000 0.000 0.000
0.363 0.363 0.275
0.637 0.637 0.725
0.750 0.250 0.500
0.250 0.750 0.500
```


Computed, not measured: a relaxed structure of SiAs2W at the PBE level of DFT.

Values from the calculation:
The calculation puts the theoretical density at 8.5 g cm⁻³. As for the symmetry: No. 10. The calculated total energy comes out at -6.383 eV per atom. The value obtained for the density of states at the Fermi level is 2.42 states/eV per cell. The value obtained for the formation energy from raw total energies is 0.536 eV per atom.

The structure in POSCAR format:
```
SiAs2W
1.0
4.480 0.000 0.000
0.000 3.298 0.107
0.000 1.265 4.809
As Si W
2 1 1
direct
0.000 0.839 0.997
0.000 0.661 0.503
0.500 0.250 0.250
0.500 0.750 0.750
```


Computed, not measured: a relaxed structure of SiAsW2 at the PBE level of DFT.

Values from the calculation:
The calculation puts the theoretical density at 12.5 g cm⁻³. As for the symmetry: No. 10. The calculated total energy comes out at -8.541 eV per atom. The calculation puts the energy above the most stable polymorph in this dataset at 525 meV/atom. The value obtained for the density of states at the Fermi level is 3.13 states/eV per cell. The value obtained for the formation energy from raw total energies is 0.453 eV per atom.

The structure in POSCAR format:
```
SiAsW2
1.0
4.014 0.000 0.000
0.000 2.861 -0.015
0.000 0.755 5.435
Si W As
1 2 1
direct
0.500 0.750 0.750
0.000 0.026 0.985
0.000 0.474 0.515
0.500 0.250 0.250
```


Computed, not measured: a relaxed structure of SiAs2W at the PBE level of DFT.

Values from the calculation:
The calculation puts the theoretical density at 8.8 g cm⁻³. As for the symmetry: No. 123. The calculated total energy comes out at -6.224 eV per atom. The value obtained for the density of states at the Fermi level is 2.87 states/eV per cell. The value obtained for the formation energy from raw total energies is 0.695 eV per atom.

The structure in POSCAR format:
```
SiAs2W
1.0
-1.225 4.637 -1.516
-0.292 -1.211 -3.469
-3.563 -0.757 0.564
Si As W
1 2 1
direct
0.500 0.500 0.000
0.000 0.000 0.000
0.000 0.500 0.500
0.500 0.000 0.500
```


Computed, not measured: a relaxed structure of Si2AsW at the PBE level of DFT.

Values from the calculation:
The calculation puts the theoretical density at 8.3 g cm⁻³. As for the symmetry: No. 166. The calculated total energy comes out at -6.801 eV per atom. The value obtained for the density of states at the Fermi level is 2.75 states/eV per cell. The value obtained for the formation energy from raw total energies is 0.311 eV per atom.

The structure in POSCAR format:
```
Si2AsW
1.0
-3.739 -1.191 6.413
-1.105 -2.886 6.854
-1.100 0.223 7.434
W Si As
1 2 1
direct
0.250 0.250 0.250
0.999 0.999 0.999
0.501 0.501 0.501
0.750 0.750 0.750
```


Computed, not measured: a relaxed structure of SiAsW2 at the PBE level of DFT.

Values from the calculation:
The calculation puts the theoretical density at 12.7 g cm⁻³. As for the symmetry: No. 25. The calculated total energy comes out at -8.822 eV per atom. The calculation puts the energy above the most stable polymorph in this dataset at 245 meV/atom. The value obtained for the density of states at the Fermi level is 2.52 states/eV per cell. The value obtained for the formation energy from raw total energies is 0.173 eV per atom.

The structure in POSCAR format:
```
SiAsW2
1.0
4.649 0.000 0.000
0.000 2.981 0.006
0.000 -0.010 4.427
W As Si
2 1 1
direct
0.000 0.875 0.019
0.500 0.375 0.228
0.000 0.375 0.523
0.500 0.875 0.730
```


Computed, not measured: a relaxed structure of SiAsW2 at the PBE level of DFT.

Values from the calculation:
The calculation puts the theoretical density at 12.8 g cm⁻³. As for the symmetry: No. 44. The calculated total energy comes out at -8.694 eV per atom. The calculation puts the energy above the most stable polymorph in this dataset at 373 meV/atom. The value obtained for the density of states at the Fermi level is 3.13 states/eV per cell. The value obtained for the formation energy from raw total energies is 0.301 eV per atom.

The structure in POSCAR format:
```
SiAsW2
1.0
5.108 -0.005 -0.001
2.244 4.588 0.001
-3.288 -2.913 2.605
W Si As
2 1 1
direct
0.016 0.016 0.000
0.741 0.241 0.500
0.240 0.740 0.500
0.503 0.503 0.000
```


Computed, not measured: a relaxed structure of SiAs2W at the PBE level of DFT.

Values from the calculation:
The calculation puts the theoretical density at 9.2 g cm⁻³. As for the symmetry: No. 47. The calculated total energy comes out at -6.305 eV per atom. The value obtained for the density of states at the Fermi level is 2.42 states/eV per cell. The value obtained for the formation energy from raw total energies is 0.614 eV per atom.

The structure in POSCAR format:
```
SiAs2W
1.0
-2.571 -0.178 -1.755
0.561 -4.429 -0.372
-2.591 -0.653 3.864
Si W As
1 1 2
direct
0.500 0.000 0.500
0.000 0.500 0.500
0.000 0.000 0.000
0.500 0.500 0.000
```


Computed, not measured: a relaxed structure of SiAs2W at the PBE level of DFT.

Values from the calculation:
The calculation puts the theoretical density at 9.2 g cm⁻³. As for the symmetry: No. 12. The calculated total energy comes out at -6.575 eV per atom. The value obtained for the density of states at the Fermi level is 1.65 states/eV per cell. The value obtained for the formation energy from raw total energies is 0.344 eV per atom.

The structure in POSCAR format:
```
SiAs2W
1.0
-1.927 4.164 1.096
-4.123 2.274 -0.290
-1.475 -1.341 4.166
As Si W
2 1 1
direct
0.973 0.973 0.018
0.527 0.527 0.482
0.750 0.750 0.750
0.250 0.250 0.250
```


Computed, not measured: a relaxed structure of SiAs2W at the PBE level of DFT.

Values from the calculation:
The calculation puts the theoretical density at 8.5 g cm⁻³. As for the symmetry: No. 65. The calculated total energy comes out at -6.371 eV per atom. The value obtained for the density of states at the Fermi level is 2.37 states/eV per cell. The value obtained for the formation energy from raw total energies is 0.548 eV per atom.

The structure in POSCAR format:
```
SiAs2W
1.0
2.858 0.005 0.000
-0.966 2.690 0.000
0.000 0.000 9.154
W As Si
1 2 1
direct
0.500 0.500 0.750
0.000 0.000 0.525
0.000 0.000 0.975
0.500 0.500 0.250
```


Computed, not measured: a relaxed structure of SiAs2W at the PBE level of DFT.

Values from the calculation:
The calculation puts the theoretical density at 8.9 g cm⁻³. As for the symmetry: No. 123. The calculated total energy comes out at -6.600 eV per atom. The value obtained for the density of states at the Fermi level is 2.18 states/eV per cell. The value obtained for the formation energy from raw total energies is 0.319 eV per atom.

The structure in POSCAR format:
```
SiAs2W
1.0
-3.065 0.312 0.530
-0.120 -2.947 1.038
1.326 2.191 6.376
As W Si
2 1 1
direct
0.000 0.000 0.970
0.000 0.000 0.530
0.500 0.500 0.750
0.500 0.500 0.250
```


Computed, not measured: a relaxed structure of SiAs2W at the PBE level of DFT.

Values from the calculation:
The calculation puts the theoretical density at 9.4 g cm⁻³. As for the symmetry: No. 71. The calculated total energy comes out at -6.481 eV per atom. The value obtained for the density of states at the Fermi level is 1.37 states/eV per cell. The value obtained for the formation energy from raw total energies is 0.438 eV per atom.

The structure in POSCAR format:
```
SiAs2W
1.0
-4.045 -0.531 2.854
0.424 -4.040 2.879
2.426 4.251 -0.911
As Si W
2 1 1
direct
0.465 0.465 0.000
0.035 0.035 0.000
0.250 0.750 0.500
0.750 0.250 0.500
```


Computed, not measured: a relaxed structure of SiAs2W at the PBE level of DFT.

Values from the calculation:
The calculation puts the theoretical density at 8.3 g cm⁻³. As for the symmetry: No. 99. The calculated total energy comes out at -6.791 eV per atom. The value obtained for the density of states at the Fermi level is 2.07 states/eV per cell. The value obtained for the formation energy from raw total energies is 0.128 eV per atom.

The structure in POSCAR format:
```
SiAs2W
1.0
3.186 0.000 0.000
0.000 3.186 0.000
0.000 0.000 7.151
W As Si
1 2 1
direct
0.500 0.500 0.710
0.500 0.500 0.332
0.000 0.000 0.926
0.000 0.000 0.532
```


Computed, not measured: a relaxed structure of SiAsW2 at the PBE level of DFT.

Values from the calculation:
The calculation puts the theoretical density at 11.7 g cm⁻³. As for the symmetry: No. 122. The calculated total energy comes out at -8.464 eV per atom. The calculation puts the energy above the most stable polymorph in this dataset at 603 meV/atom. The value obtained for the density of states at the Fermi level is 5.93 states/eV per cell. The value obtained for the formation energy from raw total energies is 0.531 eV per atom.

The structure in POSCAR format:
```
SiAsW2
1.0
-1.771 -2.470 -2.372
2.478 0.919 -2.807
5.857 -7.330 0.124
Si W As
2 4 2
direct
0.500 0.500 0.000
0.250 0.750 0.500
0.375 0.378 0.750
0.622 0.125 0.250
0.875 0.872 0.750
0.128 0.625 0.250
0.750 0.250 0.500
0.000 0.000 0.000
```